<1>
DFT (GGA+U) results for a relaxed structure of Li7Mn2Co3O12.

Structure (CIF):
```
data_Li7Mn2Co3O12
_chemical_formula_sum 'Li7 Mn2 Co3 O12'
_cell_length_a 8.2647
_cell_length_b 2.9035
_cell_length_c 9.7380
_cell_angle_alpha 90.00
_cell_angle_beta 114.42
_cell_angle_gamma 90.00
_space_group_name_H-M_alt 'P 1 m 1'
_space_group_IT_number 6
loop_
_space_group_symop_operation_xyz
'x,y,z'
'x,-y,z'
loop_
_atom_site_label
_atom_site_fract_x
_atom_site_fract_y
_atom_site_fract_z
Li1 0.0000 0.0000 0.0000
Li2 0.0021 0.5000 0.4950
Li3 0.1624 0.5000 0.8100
Li4 0.3061 0.0000 0.6422
Li5 0.4949 0.5000 0.4992
Li6 0.6872 0.0000 0.3323
Li7 0.8286 0.5000 0.1624
Mn1 0.3369 0.5000 0.1609
Mn2 0.8410 0.0000 0.6584
Co1 0.1435 0.0000 0.3336
Co2 0.4980 0.0000 0.9927
Co3 0.6578 0.5000 0.8248
O1 0.0634 0.0000 0.6614
O2 0.1083 0.5000 0.1622
O3 0.2488 0.5000 0.4827
O4 0.2716 0.0000 0.0111
O5 0.4137 0.0000 0.3046
O6 0.4255 0.5000 0.8467
O7 0.5642 0.5000 0.1410
O8 0.6001 0.0000 0.6724
O9 0.7266 0.0000 0.9805
O10 0.7562 0.5000 0.5139
O11 0.9037 0.5000 0.8112
O12 0.9197 0.0000 0.3169
```

Computed properties:
M_tot, Bohr magnetons per cell: 14.0
D(E_F), states/eV per cell: 0.18


<2>
DFT (GGA+U) results for a relaxed structure of Li7Mn2Co3O12.

Structure (CIF):
```
data_Li7Mn2Co3O12
_chemical_formula_sum 'Li7 Mn2 Co3 O12'
_cell_length_a 3.0226
_cell_length_b 8.0580
_cell_length_c 9.8216
_cell_angle_alpha 66.41
_cell_angle_beta 86.41
_cell_angle_gamma 89.35
_space_group_name_H-M_alt 'P -1'
_space_group_IT_number 2
loop_
_space_group_symop_operation_xyz
'x,y,z'
'-x,-y,-z'
loop_
_atom_site_label
_atom_site_fract_x
_atom_site_fract_y
_atom_site_fract_z
Li1 0.0000 0.0000 0.0000
Li2 0.0000 0.5000 0.0000
Li3 0.0073 0.1623 0.6682
Li4 0.4900 0.6832 0.1583
Li5 0.5000 0.0000 0.5000
Mn1 0.0066 0.3337 0.3298
Co1 0.4895 0.1603 0.1576
Co2 0.5000 0.5000 0.5000
O1 0.0182 0.5718 0.3385
O2 0.0222 0.0967 0.3242
O3 0.0314 0.7568 0.9884
O4 0.4617 0.7361 0.5061
O5 0.4778 0.3936 0.1705
O6 0.5005 0.0606 0.8310
```

Computed properties:
M_tot, Bohr magnetons per cell: 18.0
D(E_F), states/eV per cell: 2.41


Most stable structure - <1>; separation to the second - 52 meV/atom.